The following is a DFT calculation (GGA-PBE) of a relaxed structure of Cs3PtCl8.

Its spin magnetization is 0.111 μB/atom. The uncorrected formation energy is -1.17 eV/atom. For the density of states at the Fermi level, the calculation gives 16.2 states/eV per cell.

POSCAR file:
```
Cs3PtCl8
1.0
-6.379 2.692 5.616
1.638 -8.389 5.881
5.295 8.733 1.829
Cl Cs Pt
16 6 2
Direct
0.608 0.333 0.667
0.802 0.773 0.227
0.966 0.000 0.000
0.499 0.560 0.440
0.302 0.227 0.453
0.802 0.773 0.547
0.499 0.880 0.440
0.999 0.440 0.560
0.499 0.560 0.120
0.302 0.227 0.773
0.999 0.120 0.560
0.999 0.440 0.880
0.302 0.547 0.773
0.108 0.667 0.333
0.466 0.000 0.000
0.802 0.453 0.227
0.715 0.155 0.845
0.715 0.155 0.309
0.215 0.309 0.155
0.715 0.691 0.845
0.215 0.845 0.155
0.215 0.845 0.691
0.650 0.667 0.333
0.150 0.333 0.667
```